No. 1
The following is a PBE calculation of a relaxed TbPr2Y2Tm2 crystal, from the Alexandria database.

```
data_TbPr2Y2Tm2
_cell_length_a 11.7705
_cell_length_b 3.5228
_cell_length_c 11.8547
_cell_angle_alpha 90.00
_cell_angle_beta 108.82
_cell_angle_gamma 90.00
_symmetry_space_group_name_H-M 'C 1 2/m 1'
_symmetry_Int_Tables_number 12
loop_
_symmetry_equiv_pos_as_xyz
'x,y,z'
'-x,-y,-z'
'-x,y,-z'
'x,-y,z'
'x+1/2,y+1/2,z'
'-x+1/2,-y+1/2,-z'
'-x+1/2,y+1/2,-z'
'x+1/2,-y+1/2,z'
loop_
_atom_site_label
_atom_site_type_symbol
_atom_site_fract_x
_atom_site_fract_y
_atom_site_fract_z
Tb1 Tb 0.0000 0.0000 0.0000
Pr1 Pr 0.1719 0.5000 0.5859
Y1 Y 0.0478 0.5000 0.2688
Tm1 Tm 0.2282 0.0000 0.8666
```

## Properties
Its formation energy is 0.09 eV per atom. The electronic total energy is -5.066 eV per atom.

=====

No. 2
The following is a PBE calculation of a relaxed HoZr3 crystal, from the Alexandria database.

```
data_HoZr3
_cell_length_a 4.6206
_cell_length_b 4.6206
_cell_length_c 4.6206
_cell_angle_alpha 90.00
_cell_angle_beta 90.00
_cell_angle_gamma 90.00
_symmetry_space_group_name_H-M 'P m -3 m'
_symmetry_Int_Tables_number 221
_symmetry_space_group_name_Hall '-P 4 2 3'
loop_
_atom_site_label
_atom_site_type_symbol
_atom_site_fract_x
_atom_site_fract_y
_atom_site_fract_z
Ho1 Ho 0.0000 0.0000 0.0000
Zr1 Zr 0.0000 0.5000 0.5000
```

## Properties
The value obtained for the energy above the lowest structure with this stoichiometry is 62 meV per atom. Its formation energy is 0.10 eV per atom. The electronic total energy is -7.452 eV per atom.

=====

No. 3
The following is a PBE calculation of a relaxed NdSm2Er3 crystal, from the Alexandria database.

```
data_NdSm2Er3
_cell_length_a 9.4903
_cell_length_b 13.1731
_cell_length_c 6.3711
_cell_angle_alpha 90.00
_cell_angle_beta 90.00
_cell_angle_gamma 90.00
_symmetry_space_group_name_H-M 'C m c 21'
_symmetry_Int_Tables_number 36
loop_
_symmetry_equiv_pos_as_xyz
'x,y,z'
'-x,-y,z+1/2'
'-x,y,z'
'x,-y,z+1/2'
'x+1/2,y+1/2,z'
'-x+1/2,-y+1/2,z+1/2'
'-x+1/2,y+1/2,z'
'x+1/2,-y+1/2,z+1/2'
loop_
_atom_site_label
_atom_site_type_symbol
_atom_site_fract_x
_atom_site_fract_y
_atom_site_fract_z
Nd1 Nd 0.0000 0.1756 0.0000
Sm1 Sm 0.1819 0.4429 0.7747
Er1 Er 0.0000 0.0821 0.5253
Er2 Er 0.1819 0.3035 0.3241
```

## Properties
The value obtained for the energy above the lowest structure with this stoichiometry is 147 meV per atom. Its formation energy is 0.22 eV per atom. The electronic total energy is -4.433 eV per atom.